Entry 1:
## CsZrRh2 (PBE)

Data for crystalline CsZrRh2 at its relaxed geometry.

The structure in extended XYZ format:
```
8
Lattice="7.638 0.000 0.000 0.000 7.638 0.000 3.819 3.819 3.460" Properties=species:S:1:pos:R:3 pbc="T T T"
Rh 5.304 1.910 0.865
Rh 5.729 6.153 2.595
Rh 2.334 5.729 0.865
Rh 9.548 9.123 2.595
Zr 3.819 7.638 1.730
Zr 3.819 3.819 0.000
Cs 0.000 0.000 0.000
Cs 7.638 3.819 1.730
```

Output
total DFT energy (no corrections)	-5.50	eV per atom
energy relative to the lowest polymorph listed for this composition	0.000	eV per atom
SG	I-42d (122)
E_form	0.529	eV/atom
crystal system	tetragonal



Entry 2:
## CeCo12B4 (PBE)

Data for crystalline CeCo12B4 at its relaxed geometry.

The structure in extended XYZ format:
```
17
Lattice="-4.162 0.455 4.664 4.779 -3.628 1.811 2.143 5.708 -1.451" Properties=species:S:1:pos:R:3 pbc="T T T"
Co -1.443 0.067 4.215
Co -0.578 1.536 2.247
Co 3.339 0.999 2.776
Co 1.122 4.256 0.692
Co 1.639 -1.722 4.332
Co 1.442 -0.712 2.271
Co 1.318 3.246 2.753
Co 2.000 1.805 0.694
Co 0.760 0.729 4.329
Co 4.204 2.467 0.809
Co 3.981 -0.963 1.753
Co -1.221 3.497 3.270
B 1.072 2.854 -0.725
B 2.389 -1.814 0.905
B -2.081 0.227 2.332
B 1.380 1.267 2.512
Ce 0.000 0.000 0.000
```

Output
total DFT energy (no corrections)	-6.84	eV per atom
SG	Im-3 (204)
E_form	0.101	eV/atom
crystal system	cubic



Entry 3:
## Dy2YRh3 (PBE)

Data for crystalline Dy2YRh3 at its relaxed geometry.

The structure in extended XYZ format:
```
12
Lattice="-3.908 -1.983 2.083 4.233 0.086 2.371 -2.839 10.513 4.685" Properties=species:S:1:pos:R:3 pbc="T T T"
Rh 0.337 3.776 4.226
Rh -2.132 7.895 3.518
Rh -1.085 9.044 6.574
Rh -2.850 4.840 4.912
Rh -0.707 2.618 1.167
Rh -1.428 -0.427 2.565
Dy -1.419 5.257 2.342
Dy 1.047 1.147 3.055
Dy -3.560 7.469 6.084
Dy 0.000 0.000 0.000
Y -0.373 6.407 5.399
Y -2.140 2.210 3.740
```

Output
total DFT energy (no corrections)	-7.15	eV per atom
energy relative to the lowest polymorph listed for this composition	0.000	eV per atom
SG	P-3m1 (164)
E_form	-0.867	eV/atom
crystal system	trigonal



Entry 4:
## Rb3Np3ScS8 (PBE)

Data for crystalline Rb3Np3ScS8 at its relaxed geometry.

The structure in extended XYZ format:
```
15
Lattice="-6.034 -4.483 2.801 6.573 -3.520 -2.961 0.861 3.918 8.124" Properties=species:S:1:pos:R:3 pbc="T T T"
S -1.043 -0.068 3.200
S 2.442 -4.017 4.764
S 2.189 -1.896 1.682
S -4.159 -2.382 4.647
S -0.790 -2.189 6.283
S 5.558 -1.702 3.318
S -0.766 -4.199 3.118
S 2.165 0.114 4.847
Sc 0.431 1.959 4.062
Np 0.700 -2.042 3.982
Np 3.717 0.199 2.582
Np -2.587 -0.282 5.463
Rb 0.000 0.000 0.000
Rb 3.286 -1.760 -1.480
Rb 0.269 -4.001 -0.080
```

Output
total DFT energy (no corrections)	-6.88	eV per atom
SG	R-3m (166)
energy relative to the elements, uncorrected	-1.474	eV/atom
crystal system	trigonal



Entry 5:
## Ac2NdGa3Pt4 (PBE)

Data for crystalline Ac2NdGa3Pt4 at its relaxed geometry.

The structure in extended XYZ format:
```
10
Lattice="-1.042 -4.325 -0.120 0.903 -0.339 4.344 -10.857 2.547 2.456" Properties=species:S:1:pos:R:3 pbc="T T T"
Pt -7.715 -0.475 1.567
Pt 0.000 0.000 0.000
Pt -0.069 -2.332 2.112
Pt -3.211 0.690 3.001
Ga -10.141 0.094 2.116
Ga -5.429 1.273 1.228
Ga -0.786 0.121 2.452
Nd -5.498 -1.058 3.340
Ac -7.936 1.798 4.069
Ac -2.991 -1.583 0.498
```

Output
total DFT energy (no corrections)	-5.58	eV per atom
SG	P-4m2 (115)
E_form	-0.959	eV/atom
crystal system	tetragonal



Entry 6:
## SrLiCa2Zn (PBE)

Data for crystalline SrLiCa2Zn at its relaxed geometry.

The structure in extended XYZ format:
```
5
Lattice="-2.930 4.195 -2.800 1.228 -2.547 -5.102 -5.065 -3.263 0.410" Properties=species:S:1:pos:R:3 pbc="T T T"
Sr -2.532 -1.631 0.205
Zn 0.000 0.000 0.000
Li -3.383 -0.807 -3.746
Ca 0.614 -1.274 -2.551
Ca -1.465 2.098 -1.400
```

Output
total DFT energy (no corrections)	-1.70	eV per atom
energy relative to the lowest polymorph listed for this composition	0.041	eV per atom
SG	P4/mmm (123)
E_form	0.075	eV/atom
crystal system	tetragonal



Entry 7:
## K2Pa3OsO12 (PBE)

Data for crystalline K2Pa3OsO12 at its relaxed geometry.

The structure in extended XYZ format:
```
18
Lattice="7.855 -0.050 -0.035 3.836 6.855 -0.035 3.836 2.233 6.481" Properties=species:S:1:pos:R:3 pbc="T T T"
O 7.349 4.278 6.013
O 8.177 4.760 0.397
O 6.072 0.472 0.335
O 9.794 2.889 2.049
O 12.117 3.992 6.075
O 8.177 1.948 4.361
O 7.349 7.090 2.049
O 3.409 5.046 0.335
O 3.409 1.985 4.652
O 5.733 6.148 4.361
O 9.455 8.565 6.075
O 12.117 7.053 1.759
K 6.176 3.595 2.550
K 9.351 5.443 3.861
Os 0.000 0.000 0.000
Pa 1.918 1.116 3.240
Pa 1.918 3.427 -0.018
Pa 3.927 -0.025 -0.018
```

Output
total DFT energy (no corrections)	-8.24	eV per atom
SG	R-3m (166)
energy relative to the elements, uncorrected	-2.610	eV/atom
crystal system	trigonal



Entry 8:
## Pr3Tl2Zn4 (PBE)

Data for crystalline Pr3Tl2Zn4 at its relaxed geometry.

The structure in extended XYZ format:
```
9
Lattice="-3.887 2.708 0.283 0.143 -3.434 -4.967 -2.831 -4.813 7.176" Properties=species:S:1:pos:R:3 pbc="T T T"
Zn -5.167 -3.278 0.184
Zn -1.408 -2.262 2.308
Zn -3.737 -5.802 4.187
Zn -2.837 0.263 -1.695
Tl -3.148 -0.468 1.032
Tl -3.427 -5.071 1.460
Pr -4.441 -2.570 3.383
Pr 0.000 0.000 0.000
Pr -2.134 -2.970 -0.891
```

Output
total DFT energy (no corrections)	-3.02	eV per atom
SG	C2/m (12)
E_form	-0.337	eV/atom
crystal system	monoclinic